Entry 1:
Compound: AgC3Cl
Source: the Alexandria database
Functional: PBEsol
Structure: relaxed

Computed properties:
Total moment   0.00 Bohr magnetons per cell
Uncorrected formation energy   323.6 kJ/mol of atoms
Symmetry   Pm-3m, No. 221

a b c (Å): 3.7989 3.7989 3.7989
angles (deg): 90.00 90.00 90.00
With the nearest neighbours (Å) after each atom.
Atoms (fractional coordinates):
C: 0.0000 0.5000 0.0000  2 Cl 1.90
C: 0.0000 0.0000 0.5000  2 Cl 1.90
C: 0.5000 0.0000 0.0000  2 Cl 1.90
Ag: 0.5000 0.5000 0.5000  12 C 2.69
Cl: 0.0000 0.0000 0.0000  6 C 1.90



Entry 2:
Compound: AgH4CSN2Cl
Source: the Alexandria database
Functional: PBEsol
Structure: relaxed

Computed properties:
Total moment   0.00 Bohr magnetons per cell
DFT total energy   -5.31 eV per atom
Symmetry   Pbca, No. 61

a b c (Å): 7.0802 8.3436 16.5080
angles (deg): 90.00 90.00 90.00
With the nearest neighbours (Å) after each atom.
Atoms (fractional coordinates):
Ag: 0.6275 0.6500 0.2140  3 S 2.49-2.67, 1 Cl 2.52
Ag: 0.8725 0.1500 0.7860  3 S 2.49-2.67, 1 Cl 2.52
Ag: 0.1275 0.3500 0.2860  3 S 2.49-2.67, 1 Cl 2.52
Ag: 0.3725 0.8500 0.7140  3 S 2.49-2.67, 1 Cl 2.52
Ag: 0.3725 0.3500 0.7860  3 S 2.49-2.67, 1 Cl 2.52
Ag: 0.1275 0.8500 0.2140  3 S 2.49-2.67, 1 Cl 2.52
Ag: 0.8725 0.6500 0.7140  3 S 2.49-2.67, 1 Cl 2.52
Ag: 0.6275 0.1500 0.2860  3 S 2.49-2.67, 1 Cl 2.52
H: 0.3989 0.8597 0.4570  1 N 1.03
H: 0.1011 0.3597 0.5430  1 N 1.03
H: 0.8989 0.1403 0.0430  1 N 1.03
H: 0.6011 0.6403 0.9570  1 N 1.03
H: 0.6011 0.1403 0.5430  1 N 1.03
H: 0.8989 0.6403 0.4570  1 N 1.03
H: 0.1011 0.8597 0.9570  1 N 1.03
H: 0.3989 0.3597 0.0430  1 N 1.03
H: 0.3484 0.9150 0.3563  1 N 1.02
H: 0.1516 0.4150 0.6437  1 N 1.02
H: 0.8484 0.0850 0.1437  1 N 1.02
H: 0.6516 0.5850 0.8563  1 N 1.02
H: 0.6516 0.0850 0.6437  1 N 1.02
H: 0.8484 0.5850 0.3563  1 N 1.02
H: 0.1516 0.9150 0.8563  1 N 1.02
H: 0.3484 0.4150 0.1437  1 N 1.02
H: 0.3661 0.6049 0.4974  1 N 1.03
H: 0.1339 0.1049 0.5026  1 N 1.03
H: 0.8661 0.3951 0.0026  1 N 1.03
H: 0.6339 0.8951 0.9974  1 N 1.03
H: 0.6339 0.3951 0.5026  1 N 1.03
H: 0.8661 0.8951 0.4974  1 N 1.03
H: 0.1339 0.6049 0.9974  1 N 1.03
H: 0.3661 0.1049 0.0026  1 N 1.03
H: 0.3422 0.4454 0.4259  1 N 1.03
H: 0.1578 0.9454 0.5741  1 N 1.03
H: 0.8422 0.5546 0.0741  1 N 1.03
H: 0.6578 0.0546 0.9259  1 N 1.03
H: 0.6578 0.5546 0.5741  1 N 1.03
H: 0.8422 0.0546 0.4259  1 N 1.03
H: 0.1578 0.4454 0.9259  1 N 1.03
H: 0.3422 0.9454 0.0741  1 N 1.03
C: 0.3286 0.6754 0.3812  2 N 1.32-1.33
C: 0.1714 0.1754 0.6188  2 N 1.32-1.33
C: 0.8286 0.3246 0.1188  2 N 1.32-1.33
C: 0.6714 0.8246 0.8812  2 N 1.32-1.33
C: 0.6714 0.3246 0.6188  2 N 1.32-1.33
C: 0.8286 0.8246 0.3812  2 N 1.32-1.33
C: 0.1714 0.6754 0.8812  2 N 1.32-1.33
C: 0.3286 0.1754 0.1188  2 N 1.32-1.33
S: 0.2867 0.6193 0.2813  1 C 1.74
S: 0.2133 0.1193 0.7187  1 C 1.74
S: 0.7867 0.3807 0.2187  1 C 1.74
S: 0.7133 0.8807 0.7813  1 C 1.74
S: 0.7133 0.3807 0.7187  1 C 1.74
S: 0.7867 0.8807 0.2813  1 C 1.74
S: 0.2133 0.6193 0.7813  1 C 1.74
S: 0.2867 0.1193 0.2187  1 C 1.74
N: 0.3477 0.8294 0.4003  2 H 1.02-1.03
N: 0.1523 0.3294 0.5997  2 H 1.02-1.03
N: 0.8477 0.1706 0.0997  2 H 1.02-1.03
N: 0.6523 0.6706 0.9003  2 H 1.02-1.03
N: 0.6523 0.1706 0.5997  2 H 1.02-1.03
N: 0.8477 0.6706 0.4003  2 H 1.02-1.03
N: 0.1523 0.8294 0.9003  2 H 1.02-1.03
N: 0.3477 0.3294 0.0997  2 H 1.02-1.03
N: 0.3431 0.5664 0.4389  2 H 1.03
N: 0.1569 0.0664 0.5611  2 H 1.03
N: 0.8431 0.4336 0.0611  2 H 1.03
N: 0.6569 0.9336 0.9389  2 H 1.03
N: 0.6569 0.4336 0.5611  2 H 1.03
N: 0.8431 0.9336 0.4389  2 H 1.03
N: 0.1569 0.5664 0.9389  2 H 1.03
N: 0.3431 0.0664 0.0611  2 H 1.03
Cl: 0.4733 0.7011 0.0787  3 H 2.24-2.39
Cl: 0.0267 0.2011 0.9213  3 H 2.24-2.39
Cl: 0.9733 0.2989 0.4213  3 H 2.24-2.39
Cl: 0.5267 0.7989 0.5787  3 H 2.24-2.39
Cl: 0.5267 0.2989 0.9213  3 H 2.24-2.39
Cl: 0.9733 0.7989 0.0787  3 H 2.24-2.39
Cl: 0.0267 0.7011 0.5787  3 H 2.24-2.39
Cl: 0.4733 0.2011 0.4213  3 H 2.24-2.39



Entry 3:
Compound: Ag2CSCl
Source: the Alexandria database
Functional: PBEsol
Structure: relaxed

Computed properties:
Total moment   0.00 Bohr magnetons per cell
Uncorrected formation energy   154.0 kJ/mol of atoms
Symmetry   P4/mmm, No. 123

a b c (Å): 3.4974 5.0423 5.0423
angles (deg): 90.00 90.00 90.00
With the nearest neighbours (Å) after each atom.
Atoms (fractional coordinates):
S: 0.5000 0.5000 0.5000  8 Ag 3.07
C: 0.5000 0.0000 0.0000  2 Cl 1.75
Ag: 0.0000 0.0000 0.5000  2 Cl 2.52
Ag: 0.0000 0.5000 0.0000  2 Cl 2.52
Cl: 0.0000 0.0000 0.0000  2 C 1.75



Entry 4:
Compound: CoAg3C
Source: the Alexandria database
Functional: PBEsol
Structure: relaxed

Computed properties:
Total moment   1.91 Bohr magnetons per cell
ΔE to the lowest computed polymorph   0 meV per atom
Symmetry   Pm-3m, No. 221

a b c (Å): 4.1681 4.1681 4.1681
angles (deg): 90.00 90.00 90.00
With the nearest neighbours (Å) after each atom.
Atoms (fractional coordinates):
C: 0.0000 0.0000 0.0000  6 Ag 2.08
Co: 0.5000 0.5000 0.5000  12 Ag 2.95
Ag: 0.0000 0.5000 0.0000  2 C 2.08
Ag: 0.0000 0.0000 0.5000  2 C 2.08
Ag: 0.5000 0.0000 0.0000  2 C 2.08